Entry 1:
This record from Alexandria via LeMat-Bulk describes a relaxed structure of Ce6SnBi2Te3. The functional is PBE-GGA.

The total DFT energy (no corrections) comes out at -69.33 eV per formula unit. The density of states at the Fermi level is 43.05 states/eV per cell. Its total moment is 6.26 μB/cell. Its space group is No. 12. For the formation energy from raw total energies, the calculation gives -1045 meV per atom.

abc: 4.5410 9.0720 10.1100
angles: 101.96 102.98 90.00
Fractional positions:
Ce  0.3342  0.4146  0.6684
Ce  0.3352  0.9199  0.6705
Ce  0.6658  0.5854  0.3316
Ce  0.0013  0.7545  0.0026
Ce  0.6648  0.0801  0.3295
Ce  0.9987  0.2455  0.9974
Bi  0.1665  0.3336  0.3331
Bi  0.8335  0.6664  0.6669
Te  0.5000  0.5000  0.0000
Te  0.1679  0.8339  0.3358
Te  0.8321  0.1661  0.6642
Sn  0.5000  0.0000  0.0000

---

Entry 2:
This record from Alexandria via LeMat-Bulk describes a relaxed structure of LiSi2Pt. The functional is PBE-GGA.

The total DFT energy (no corrections) comes out at -20.04 eV per formula unit. The density of states at the Fermi level is 0.82 states/eV per cell. Its total moment is 0.00 μB/cell. Its space group is No. 10. For the formation energy from raw total energies, the calculation gives -310 meV per atom. The value obtained for the energy above the most stable polymorph in this dataset is 178 meV/atom.

abc: 2.8860 4.5331 5.0942
angles: 55.24 90.00 90.00
Fractional positions:
Si  0.0000  0.0000  0.0000
Si  0.5000  0.5000  0.0000
Li  0.5000  0.5000  0.5000
Pt  0.0000  0.0000  0.5000

---

Entry 3:
This record from Alexandria via LeMat-Bulk describes a relaxed structure of Rb2UBeS5. The functional is PBE-GGA.

The total DFT energy (no corrections) comes out at -47.58 eV per formula unit. The density of states at the Fermi level is 5.00 states/eV per cell. Its total moment is 1.39 μB/cell. Its space group is No. 36. For the formation energy from raw total energies, the calculation gives -1110 meV per atom.

abc: 3.9544 9.7370 14.1386
angles: 90.00 90.00 101.72
Fractional positions:
Rb  0.1193  0.2387  0.3275
Rb  0.1161  0.2322  0.6862
Rb  0.8839  0.7678  0.1862
Rb  0.8807  0.7613  0.8275
U  0.8014  0.6028  0.5209
U  0.1986  0.3972  0.0209
S  0.0664  0.1329  0.0074
S  0.6902  0.3803  0.8951
S  0.3026  0.6051  0.6422
S  0.3098  0.6197  0.3951
S  0.9336  0.8671  0.5074
S  0.4838  0.9675  0.3119
S  0.6974  0.3949  0.1422
S  0.3254  0.6508  0.0090
S  0.6746  0.3492  0.5090
S  0.5162  0.0325  0.8119
Be  0.5791  0.1581  0.9239
Be  0.4209  0.8419  0.4239

---

Entry 4:
This record from Alexandria via LeMat-Bulk describes a relaxed structure of CrFe2CuBi. The functional is PBE-GGA.

The total DFT energy (no corrections) comes out at -28.38 eV per formula unit. The density of states at the Fermi level is 5.71 states/eV per cell. The value obtained for the formation energy is 1228.4 meV/atom. Its total moment is 10.36 μB/cell. Its space group is No. 123. The value obtained for the energy above the most stable polymorph in this dataset is 303 meV/atom.

abc: 4.5090 5.0435 4.5090
angles: 90.00 90.00 90.00
Fractional positions:
Fe  0.0000  0.0000  0.5000
Fe  0.5000  0.0000  0.0000
Cu  0.0000  0.0000  0.0000
Bi  0.0000  0.5000  0.0000
Cr  0.5000  0.5000  0.5000

---

Entry 5:
This record from Alexandria via LeMat-Bulk describes a relaxed structure of Pm9Nd11Er4. The functional is PBE-GGA.

The total DFT energy (no corrections) comes out at -112.14 eV per formula unit. The density of states at the Fermi level is 31.60 states/eV per cell. The value obtained for the formation energy is 54.6 meV/atom. Its total moment is 0.00 μB/cell. Its space group is No. 65.

abc: 3.6879 15.6882 15.6882
angles: 114.05 90.00 90.00
Fractional positions:
Er  0.5000  0.7608  0.5581
Er  0.5000  0.2392  0.4419
Er  0.5000  0.5581  0.7608
Er  0.5000  0.4419  0.2392
Nd  0.0000  0.4020  0.0410
Nd  0.0000  0.8356  0.1644
Nd  0.0000  0.9590  0.5980
Nd  0.0000  0.6297  0.3703
Nd  0.0000  0.0000  0.0000
Nd  0.0000  0.1644  0.8356
Nd  0.0000  0.2895  0.2895
Nd  0.0000  0.7105  0.7105
Nd  0.0000  0.5980  0.9590
Nd  0.0000  0.3703  0.6297
Nd  0.0000  0.0410  0.4020
Pm  0.5000  0.3735  0.8340
Pm  0.5000  0.8340  0.3735
Pm  0.5000  0.0627  0.2126
Pm  0.5000  0.2126  0.0627
Pm  0.5000  0.1660  0.6265
Pm  0.5000  0.6265  0.1660
Pm  0.5000  0.7874  0.9373
Pm  0.5000  0.9373  0.7874
Pm  0.5000  0.5000  0.5000

---

Entry 6:
This record from Alexandria via LeMat-Bulk describes a relaxed structure of Ho2CdCoC. The functional is PBE-GGA.

The total DFT energy (no corrections) comes out at -28.09 eV per formula unit. The density of states at the Fermi level is 2.73 states/eV per cell. The value obtained for the formation energy is -337.8 meV/atom. Its total moment is 0.00 μB/cell. Its space group is No. 123.

abc: 3.6775 5.0410 5.0410
angles: 90.00 90.00 90.00
Fractional positions:
Ho  0.0000  0.0000  0.5000
Ho  0.0000  0.5000  0.0000
Co  0.5000  0.0000  0.0000
C  0.0000  0.0000  0.0000
Cd  0.5000  0.5000  0.5000

---

Entry 7:
This record from Alexandria via LeMat-Bulk describes a relaxed structure of Li7Nb8O24. The functional is PBE-GGA.

The total DFT energy (no corrections) comes out at -307.45 eV per formula unit. The density of states at the Fermi level is 0.57 states/eV per cell. Its total moment is 1.17 μB/cell. Its space group is No. 1. For the formation energy from raw total energies, the calculation gives -2423 meV per atom.

abc: 5.2625 9.0275 9.9020
angles: 107.46 89.96 90.36
Fractional positions:
Nb  0.4929  0.0070  0.5190
Nb  0.4996  0.2565  0.2680
Nb  0.9966  0.0129  0.0257
Nb  0.0004  0.7600  0.2711
Nb  0.9955  0.5079  0.5183
Nb  0.4984  0.5057  0.0255
Nb  0.5078  0.7591  0.7653
Nb  0.9845  0.2621  0.7659
O  0.1862  0.0614  0.6161
O  0.3808  0.1154  0.3682
O  0.3194  0.3398  0.8521
O  0.3681  0.6155  0.8684
O  0.1243  0.8656  0.1166
O  0.3054  0.4341  0.3665
O  0.8755  0.6160  0.3650
O  0.6956  0.6871  0.1164
O  0.8111  0.9364  0.3695
O  0.6961  0.1865  0.6179
O  0.6850  0.0585  0.1228
O  0.8122  0.8140  0.8690
O  0.1938  0.6842  0.6130
O  0.1858  0.1888  0.1264
O  0.8075  0.4391  0.8693
O  0.6252  0.8660  0.6174
O  0.8158  0.3124  0.3648
O  0.6779  0.5578  0.6158
O  0.6265  0.3694  0.1206
O  0.1836  0.5602  0.1197
O  0.1192  0.3616  0.6078
O  0.3213  0.8117  0.3671
O  0.9214  0.1187  0.8662
O  0.2915  0.9156  0.8672
Li  0.4900  0.3920  0.6818
Li  0.9986  0.3996  0.1982
Li  0.4983  0.6437  0.4394
Li  0.0000  0.6528  0.9483
Li  0.0030  0.1502  0.4394
Li  0.4977  0.8943  0.1895
Li  0.0077  0.8998  0.6994

---

Entry 8:
This record from Alexandria via LeMat-Bulk describes a relaxed structure of Co2As2Pd. The functional is PBE-GGA.

The total DFT energy (no corrections) comes out at -29.10 eV per formula unit. The density of states at the Fermi level is 4.21 states/eV per cell. The value obtained for the formation energy is -79.1 meV/atom. Its total moment is 0.00 μB/cell. Its space group is No. 139. The value obtained for the energy above the most stable polymorph in this dataset is 28 meV/atom.

abc: 3.8426 3.8426 5.6758
angles: 70.21 70.21 90.00
Fractional positions:
Co  0.2500  0.7500  0.5000
Co  0.7500  0.2500  0.5000
Pd  0.0000  0.0000  0.0000
As  0.6231  0.6231  0.7537
As  0.3769  0.3769  0.2463